[1]
## V2InH2 (PBE-GGA)

Data for crystalline V2InH2 at its relaxed geometry.

Unit cell a=3.3763 b=3.3763 c=9.3019 alpha=90.00 beta=90.00 gamma=90.00
Last column: nearest neighbours and their distance in Å.
Space group I4/mmm (No. 139)
Unique sites:
V  0.0000  0.0000  0.1788 x4  4 H 1.81
In  0.0000  0.0000  0.5000 x2  8 H 2.87, 10 V 2.91-2.99
H  0.0000  0.5000  0.2500 x4  4 V 1.81

[2]
## V2InH2 (PBE-GGA)

Data for crystalline V2InH2 at its relaxed geometry.

Unit cell a=6.9829 b=6.9829 c=2.6683 alpha=90.00 beta=90.00 gamma=90.00
Last column: nearest neighbours and their distance in Å.
Space group P4/mbm (No. 127)
Unique sites:
V  0.1151  0.3849  0.0000 x4  4 H 1.99
In  0.0000  0.0000  0.0000 x2  2 In 2.67, 4 V 2.81
H  0.0952  0.5952  0.5000 x4  1 H 1.88, 4 V 1.99

[3]
## VInH2 (PBE-GGA)

Data for crystalline VInH2 at its relaxed geometry.

Unit cell a=4.0507 b=4.0507 c=10.7895 alpha=90.00 beta=90.00 gamma=90.00
Last column: nearest neighbours and their distance in Å.
Space group I-42d (No. 122)
Unique sites:
V  0.0000  0.0000  0.0000 x4  4 H 1.72
In  0.0000  0.0000  0.5000 x4  4 H 2.40
H  0.0783  0.2500  0.1250 x8  2 V 1.72

Q: Which DOS(E_F) values were calculated for the entries above? A: 7.56 7.57 5.62, in states/eV per cell.
Q: Which distance to the lowest polymorph of the same formula values were calculated for the entries above? A: 0 658 219, in meV per atom.